[1]
# Zr6TlBi

A relaxed Zr6TlBi crystal (PBE, Alexandria).

a = 5.253 Å, b = 6.728 Å, c = 10.417 Å
α = 90.00°, β = 90.00°, γ = 90.00°
Space group Amm2 (No. 38)
Asymmetric unit:
1 Zr 0.000 0.000 0.000 x2
2 Zr 0.000 0.231 0.274 x4
3 Zr 0.500 0.000 0.736 x2
4 Zr 0.500 0.231 0.464 x4
5 Tl 0.500 0.000 0.199 x2
6 Bi 0.000 0.000 0.538 x2

Properties
VASP energy: -58.76 eV per formula unit
Energy relative to the lowest polymorph listed for this composition: 2.6 meV/atom
Calculated formation energy: -14.77 kJ/mol of atoms

***

[2]
# TbTm2TlN

A relaxed TbTm2TlN crystal (PBE, Alexandria).

a = 4.742 Å, b = 4.742 Å, c = 4.844 Å
α = 90.00°, β = 90.00°, γ = 90.00°
Space group P4/mmm (No. 123)
Asymmetric unit:
1 Tb 0.000 0.000 0.000 x1
2 Tm 0.000 0.500 0.500 x2
3 Tl 0.500 0.500 0.000 x1
4 N 0.000 0.000 0.500 x1

Properties
VASP energy: -29.00 eV per formula unit